Entry 1:
Compound: Pm2ScIr2
Source: OQMD
Functional: PBE-GGA
Structure: optimized geometry

Cell lengths 4.1381, 4.1381, 7.1191 Å; angles 90.00, 90.00, 90.00 degrees
Closest atoms and distances in Å follow each position.
Atoms (fractional coordinates):
1 Ir 0.5000 0.0000 0.5000  4 Pm 2.79, 4 Ir 2.93
2 Ir 0.0000 0.5000 0.5000  4 Pm 2.79, 4 Ir 2.93
3 Pm 0.5000 0.5000 0.2379  4 Ir 2.79
4 Pm 0.5000 0.5000 0.7621  4 Ir 2.79
5 Sc 0.0000 0.0000 0.0000  8 Pm 3.38

Properties
formation energy from the elements: 0.070 eV per atom
size of the total moment: 0.005 μB/atom

***

Entry 2:
Compound: PmSi2Ir5
Source: OQMD
Functional: PBE-GGA
Structure: optimized geometry

Cell lengths 6.2485, 6.2485, 6.2485 Å; angles 143.56, 112.71, 79.02 degrees
Closest atoms and distances in Å follow each position.
Atoms (fractional coordinates):
1 Ir 0.5544 0.3552 0.1991  3 Si 2.34-2.58
2 Ir 0.8439 0.6448 0.1991  3 Si 2.34-2.58
3 Ir 0.5000 0.0000 0.5000  2 Si 2.36
4 Ir 0.1561 0.3552 0.8009  3 Si 2.34-2.58
5 Ir 0.4456 0.6448 0.8009  3 Si 2.34-2.58
6 Pm 0.0000 0.0000 0.0000  4 Si 3.14, 10 Ir 3.18-3.46
7 Si 0.7445 0.2445 0.5000  7 Ir 2.34-2.58
8 Si 0.2555 0.7555 0.5000  7 Ir 2.34-2.58

Properties
uncorrected energy: -8.16 eV/atom
size of the total moment: 0.001 μB/atom

***

Entry 3:
Compound: Pm2Si2Ir
Source: OQMD
Functional: PBE-GGA
Structure: optimized geometry

Cell lengths 5.9276, 5.9276, 10.2980 Å; angles 117.53, 117.53, 42.17 degrees
Closest atoms and distances in Å follow each position.
Atoms (fractional coordinates):
1 Ir 0.2770 0.2770 0.1222  4 Si 2.44-2.54
2 Ir 0.7230 0.7230 0.8778  4 Si 2.44-2.54
3 Pm 0.0096 0.0096 0.1776  6 Si 2.96-3.18, 4 Ir 3.14-3.28
4 Pm 0.8161 0.8161 0.3968  5 Si 2.93-3.08
5 Pm 0.1839 0.1839 0.6032  5 Si 2.93-3.08
6 Pm 0.9904 0.9904 0.8224  6 Si 2.96-3.18, 4 Ir 3.14-3.28
7 Si 0.6537 0.6537 0.0692  3 Ir 2.44
8 Si 0.5013 0.5013 0.3730  1 Ir 2.54, 1 Si 2.63
9 Si 0.4987 0.4987 0.6270  1 Ir 2.54, 1 Si 2.63
10 Si 0.3463 0.3463 0.9308  3 Ir 2.44

Properties
uncorrected energy: -6.73 eV/atom
size of the total moment: 0.090 μB/atom

***

Entry 4:
Compound: PmSnIr
Source: OQMD
Functional: PBE-GGA
Structure: optimized geometry

Cell lengths 7.1902, 4.6195, 8.1067 Å; angles 90.00, 90.00, 90.00 degrees
Closest atoms and distances in Å follow each position.
Atoms (fractional coordinates):
1 Ir 0.7282 0.2500 0.1039  4 Sn 2.74-2.81, 1 Pm 2.95
2 Ir 0.2282 0.2500 0.3961  4 Sn 2.74-2.81, 1 Pm 2.95
3 Ir 0.7718 0.7500 0.6039  4 Sn 2.74-2.81, 1 Pm 2.95
4 Ir 0.2718 0.7500 0.8961  4 Sn 2.74-2.81, 1 Pm 2.95
5 Pm 0.0240 0.7500 0.1867  5 Ir 2.95-3.22, 3 Sn 3.28-3.30
6 Pm 0.5240 0.7500 0.3133  5 Ir 2.95-3.22, 3 Sn 3.28-3.30
7 Pm 0.4760 0.2500 0.6867  5 Ir 2.95-3.22, 3 Sn 3.28-3.30
8 Pm 0.9760 0.2500 0.8133  5 Ir 2.95-3.22, 3 Sn 3.28-3.30
9 Sn 0.3394 0.2500 0.0730  4 Ir 2.74-2.81
10 Sn 0.8394 0.2500 0.4270  4 Ir 2.74-2.81
11 Sn 0.1606 0.7500 0.5730  4 Ir 2.74-2.81
12 Sn 0.6606 0.7500 0.9270  4 Ir 2.74-2.81

Properties
size of the total moment: 0.000 μB/atom
excess energy over the best structure of this formula in the dataset: 0.0 meV/atom

***

Entry 5:
Compound: PmSnIr
Source: OQMD
Functional: PBE-GGA
Structure: optimized geometry

Cell lengths 4.7410, 4.7410, 4.7410 Å; angles 60.00, 60.00, 60.00 degrees
Closest atoms and distances in Å follow each position.
Atoms (fractional coordinates):
1 Ir 0.0000 0.0000 0.0000  4 Sn 2.90, 4 Pm 2.90
2 Pm 0.7500 0.7500 0.7500  4 Ir 2.90
3 Sn 0.2500 0.2500 0.2500  4 Ir 2.90

Properties
size of the total moment: 0.056 μB/atom
excess energy over the best structure of this formula in the dataset: 198.7 meV/atom

***

Entry 6:
Compound: PmTa2Ir2
Source: OQMD
Functional: PBE-GGA
Structure: optimized geometry

Cell lengths 6.1666, 6.1666, 6.1666 Å; angles 137.72, 137.72, 61.33 degrees
Closest atoms and distances in Å follow each position.
Atoms (fractional coordinates):
1 Ir 0.3747 0.3747 0.0000  4 Ta 2.59, 1 Ir 2.66
2 Ir 0.6253 0.6253 0.0000  4 Ta 2.59, 1 Ir 2.66
3 Pm 0.0000 0.0000 0.0000  8 Ir 3.41, 8 Ta 3.46
4 Ta 0.7500 0.2500 0.5000  4 Ir 2.59
5 Ta 0.2500 0.7500 0.5000  4 Ir 2.59

Properties
formation energy from the elements: -0.618 eV per atom
size of the total moment: 0.001 μB/atom